Entry 1:
! KYAg2 (GGA-PBEsol, optimized geometry); values from VASP
! - Total energy: -3.50 eV per atom
&SYSTEM
  ibrav = 0, nat = 4, ntyp = 3
/
ATOMIC_SPECIES
Ag 107.87 Ag.upf
K 39.10 K.upf
Y 88.91 Y.upf
CELL_PARAMETERS angstrom
-1.903 1.996 2.491
0.502 -3.858 0.703
7.815 3.271 3.350
ATOMIC_POSITIONS angstrom
Ag 4.961 2.066 4.907
Ag 1.453 -0.658 1.637
K 3.907 1.635 1.675
Y -0.952 0.998 1.245



Entry 2:
! KYAg2 (GGA-PBEsol, optimized geometry); values from VASP
! - Total energy: -3.58 eV per atom
&SYSTEM
  ibrav = 0, nat = 4, ntyp = 3
/
ATOMIC_SPECIES
Ag 107.87 Ag.upf
K 39.10 K.upf
Y 88.91 Y.upf
CELL_PARAMETERS angstrom
-0.763 -1.570 2.874
5.244 -1.242 0.714
0.715 4.647 2.729
ATOMIC_POSITIONS angstrom
Ag 2.622 -0.621 0.357
Ag 0.358 2.324 1.365
K -0.381 -0.785 1.437
Y 2.598 0.917 3.158



Entry 3:
! KZn2Ag2 (GGA-PBEsol, optimized geometry); values from VASP
! - Total energy: -2.14 eV per atom
! - Distance to the lowest polymorph of the same formula: 0 meV per atom
&SYSTEM
  ibrav = 0, nat = 10, ntyp = 3
/
ATOMIC_SPECIES
Zn 65.41 Zn.upf
K 39.10 K.upf
Ag 107.87 Ag.upf
CELL_PARAMETERS angstrom
2.762 0.000 0.000
0.000 8.219 0.000
0.000 0.000 8.219
ATOMIC_POSITIONS angstrom
Zn 1.381 0.977 5.086
Zn 1.381 5.086 7.243
Zn 1.381 7.243 3.133
Zn 1.381 3.133 0.977
K 0.000 0.000 0.000
K 0.000 4.110 4.110
Ag 0.000 2.690 6.800
Ag 0.000 6.800 5.529
Ag 0.000 5.529 1.419
Ag 0.000 1.419 2.690



Entry 4:
! KZn2Ag (GGA-PBEsol, optimized geometry); values from VASP
! - Total energy: -1.89 eV per atom
! - Distance to the lowest polymorph of the same formula: 0 meV per atom
&SYSTEM
  ibrav = 0, nat = 4, ntyp = 3
/
ATOMIC_SPECIES
Zn 65.41 Zn.upf
K 39.10 K.upf
Ag 107.87 Ag.upf
CELL_PARAMETERS angstrom
-3.936 1.404 1.621
1.552 -4.038 1.069
3.044 4.574 3.430
ATOMIC_POSITIONS angstrom
Zn -0.466 1.978 3.352
Zn 1.127 -0.039 2.769
K -1.968 0.702 0.811
Ag 1.522 2.287 1.715



Entry 5:
! K2ZnAg (GGA-PBEsol, optimized geometry); values from VASP
! - Total energy: -1.67 eV per atom
&SYSTEM
  ibrav = 0, nat = 4, ntyp = 3
/
ATOMIC_SPECIES
Zn 65.41 Zn.upf
K 39.10 K.upf
Ag 107.87 Ag.upf
CELL_PARAMETERS angstrom
4.615 0.000 0.000
0.000 4.891 0.000
0.000 -2.446 6.055
ATOMIC_POSITIONS angstrom
Zn 0.000 2.446 3.594
K 0.000 0.000 1.213
K 2.307 0.000 4.803
Ag 2.307 2.446 2.436



Entry 6:
! KZn2Ag2 (GGA-PBEsol, optimized geometry); values from VASP
! - Total energy: -2.08 eV per atom
! - Distance to the lowest polymorph of the same formula: 58 meV per atom
&SYSTEM
  ibrav = 0, nat = 5, ntyp = 3
/
ATOMIC_SPECIES
Zn 65.41 Zn.upf
K 39.10 K.upf
Ag 107.87 Ag.upf
CELL_PARAMETERS angstrom
-0.348 4.381 -1.437
-3.437 -1.207 -2.847
-1.527 -0.636 5.867
ATOMIC_POSITIONS angstrom
Zn -3.428 -0.128 0.439
Zn -1.883 2.666 1.144
K 0.000 0.000 0.000
Ag -2.508 0.697 2.732
Ag -2.804 1.840 -1.149